# 1
A relaxed structure of CeHoS2N. Source: Alexandria via LeMat-Bulk, functional PBE. Values from VASP.

Values from the calculation:
- energy relative to the elements, uncorrected (eV/atom) = -1.8214

Quantum ESPRESSO input file:
```
&SYSTEM
  ibrav = 0, nat = 10, ntyp = 4
/
ATOMIC_SPECIES
S 32.06 S.upf
N 14.01 N.upf
Ce 140.12 Ce.upf
Ho 164.93 Ho.upf
CELL_PARAMETERS angstrom
3.890 0.000 0.000
0.000 3.890 0.000
0.000 0.000 13.871
ATOMIC_POSITIONS angstrom
S 1.945 0.000 4.191
S 0.000 1.945 9.680
S 1.945 0.000 12.613
S 0.000 1.945 1.258
N 0.000 0.000 6.936
N 1.945 1.945 6.936
Ce 1.945 0.000 8.123
Ce 0.000 1.945 5.748
Ho 1.945 0.000 1.686
Ho 0.000 1.945 12.185
```

# 2
A relaxed structure of CeHoSN. Source: Alexandria via LeMat-Bulk, functional PBE. Values from VASP.

Values from the calculation:
- energy relative to the elements, uncorrected (eV/atom) = -1.7939

Quantum ESPRESSO input file:
```
&SYSTEM
  ibrav = 0, nat = 4, ntyp = 4
/
ATOMIC_SPECIES
Ce 140.12 Ce.upf
N 14.01 N.upf
S 32.06 S.upf
Ho 164.93 Ho.upf
CELL_PARAMETERS angstrom
3.623 0.003 0.506
-1.781 3.157 -0.498
-0.896 -1.613 6.434
ATOMIC_POSITIONS angstrom
Ce 0.189 -0.146 1.045
N 1.816 1.019 2.610
S -0.424 0.199 5.430
Ho -0.160 2.169 3.528
```

# 3
A relaxed structure of Ce2Ho4Sb3N2. Source: Alexandria via LeMat-Bulk, functional PBE. Values from VASP.

Values from the calculation:
- energy relative to the elements, uncorrected (eV/atom) = -1.1830

Quantum ESPRESSO input file:
```
&SYSTEM
  ibrav = 0, nat = 11, ntyp = 4
/
ATOMIC_SPECIES
Ho 164.93 Ho.upf
N 14.01 N.upf
Sb 121.76 Sb.upf
Ce 140.12 Ce.upf
CELL_PARAMETERS angstrom
-3.913 0.656 2.441
-0.418 -4.605 0.567
8.935 2.674 9.159
ATOMIC_POSITIONS angstrom
Ho -0.839 0.443 2.982
Ho 3.694 0.912 10.122
Ho 5.442 -1.719 9.185
Ho 0.909 -2.187 2.045
N -0.806 -1.834 3.645
N 5.410 0.559 8.522
Sb 2.369 0.245 3.732
Sb 0.000 0.000 0.000
Sb 2.235 -1.520 8.435
Ce 4.170 0.431 6.569
Ce 0.433 -1.706 5.598
```

# 4
A relaxed structure of Ce2HoSbN5. Source: Alexandria via LeMat-Bulk, functional PBE. Values from VASP.

Values from the calculation:
- energy relative to the elements, uncorrected (eV/atom) = -0.8636

Quantum ESPRESSO input file:
```
&SYSTEM
  ibrav = 0, nat = 18, ntyp = 4
/
ATOMIC_SPECIES
Ho 164.93 Ho.upf
N 14.01 N.upf
Sb 121.76 Sb.upf
Ce 140.12 Ce.upf
CELL_PARAMETERS angstrom
-0.163 -1.334 3.213
3.767 -4.895 -3.728
9.048 5.025 2.544
ATOMIC_POSITIONS angstrom
Ho 1.628 -2.452 -0.935
Ho 6.505 -1.262 1.694
N 2.535 0.579 2.257
N 2.923 -4.147 -1.573
N 3.038 -2.291 1.091
N 0.972 -0.284 -0.068
N 9.042 1.726 3.062
N 8.077 0.233 0.506
N 10.626 -1.501 -0.084
N 5.694 -1.772 -0.447
N 5.461 0.573 2.402
N 8.302 -2.796 1.148
Sb 7.700 -2.968 -0.841
Sb 8.810 3.906 3.956
Ce 4.523 -3.986 0.463
Ce 3.585 -0.177 0.108
Ce 9.613 -0.724 2.075
Ce 7.122 2.222 1.283
```

# 5
A relaxed structure of Ce4Ho2Sb3N2. Source: Alexandria via LeMat-Bulk, functional PBE. Values from VASP.

Values from the calculation:
- energy relative to the elements, uncorrected (eV/atom) = -1.0962

Quantum ESPRESSO input file:
```
&SYSTEM
  ibrav = 0, nat = 11, ntyp = 4
/
ATOMIC_SPECIES
Ho 164.93 Ho.upf
Sb 121.76 Sb.upf
N 14.01 N.upf
Ce 140.12 Ce.upf
CELL_PARAMETERS angstrom
4.661 0.000 0.000
0.000 4.661 0.000
-2.330 -2.330 12.992
ATOMIC_POSITIONS angstrom
Ho 2.330 2.330 5.081
Ho 0.000 0.000 7.911
Sb 2.330 2.330 8.247
Sb 0.000 0.000 4.744
Sb 0.000 0.000 0.000
N 2.330 2.330 2.832
N 0.000 0.000 10.160
Ce 0.000 2.330 10.755
Ce 0.000 2.330 2.237
Ce 2.330 0.000 10.755
Ce 2.330 0.000 2.237
```

# 6
A relaxed structure of Ce2HoSe2N2. Source: Alexandria via LeMat-Bulk, functional PBE. Values from VASP.

Values from the calculation:
- energy relative to the elements, uncorrected (eV/atom) = -1.7741

Quantum ESPRESSO input file:
```
&SYSTEM
  ibrav = 0, nat = 7, ntyp = 4
/
ATOMIC_SPECIES
Ce 140.12 Ce.upf
Se 78.96 Se.upf
N 14.01 N.upf
Ho 164.93 Ho.upf
CELL_PARAMETERS angstrom
3.931 0.000 0.000
1.966 6.246 0.041
1.966 2.399 6.085
ATOMIC_POSITIONS angstrom
Ce 1.966 2.854 1.493
Ce 5.897 5.791 4.633
Se 3.931 5.817 2.070
Se 3.931 2.828 4.056
N 3.931 2.222 0.511
N 3.931 6.423 5.615
Ho 0.000 0.000 0.000
```

# 7
A relaxed structure of Ce3SmHo2N6. Source: Alexandria via LeMat-Bulk, functional PBE. Values from VASP.

Values from the calculation:
- energy relative to the elements, uncorrected (eV/atom) = -1.5715

Quantum ESPRESSO input file:
```
&SYSTEM
  ibrav = 0, nat = 12, ntyp = 4
/
ATOMIC_SPECIES
N 14.01 N.upf
Sm 150.36 Sm.upf
Ce 140.12 Ce.upf
Ho 164.93 Ho.upf
CELL_PARAMETERS angstrom
6.118 0.000 0.000
-3.058 5.299 0.000
-1.020 -1.767 5.763
ATOMIC_POSITIONS angstrom
N 2.016 3.490 1.439
N 0.024 0.042 4.324
N 2.087 0.000 1.446
N -0.048 3.532 4.317
N -1.043 1.808 1.446
N 3.083 1.724 4.317
Sm 0.000 0.000 0.000
Ce 1.020 1.766 2.882
Ce -2.038 3.532 2.882
Ce 4.078 0.000 2.882
Ho 3.060 1.766 0.000
Ho 0.001 3.533 0.000
```

# 8
A relaxed structure of Ce3Sm2HoN6. Source: Alexandria via LeMat-Bulk, functional PBE. Values from VASP.

Values from the calculation:
- energy relative to the elements, uncorrected (eV/atom) = -1.5380

Quantum ESPRESSO input file:
```
&SYSTEM
  ibrav = 0, nat = 12, ntyp = 4
/
ATOMIC_SPECIES
Ce 140.12 Ce.upf
Sm 150.36 Sm.upf
N 14.01 N.upf
Ho 164.93 Ho.upf
CELL_PARAMETERS angstrom
-2.454 -5.641 -0.306
1.788 2.289 5.431
-5.057 3.371 -0.920
ATOMIC_POSITIONS angstrom
Ce -2.862 0.010 2.102
Ce -4.277 -2.636 0.188
Ce -1.446 2.656 4.017
Sm 0.374 -0.354 3.519
Sm -1.040 -2.998 1.606
N -0.763 1.319 1.969
N -2.144 -1.262 0.101
N -1.799 -1.684 3.658
N -3.924 1.703 0.547
N -3.579 1.281 4.104
N -4.960 -1.300 2.236
Ho 0.000 0.000 0.000
```

# 9
A relaxed structure of Ce2SmHoN4. Source: Alexandria via LeMat-Bulk, functional PBE. Values from VASP.

Values from the calculation:
- energy relative to the elements, uncorrected (eV/atom) = -1.5535

Quantum ESPRESSO input file:
```
&SYSTEM
  ibrav = 0, nat = 8, ntyp = 4
/
ATOMIC_SPECIES
Ho 164.93 Ho.upf
N 14.01 N.upf
Ce 140.12 Ce.upf
Sm 150.36 Sm.upf
CELL_PARAMETERS angstrom
-2.421 -2.167 -1.414
1.188 -4.167 4.353
-4.466 3.740 1.915
ATOMIC_POSITIONS angstrom
Ho 0.000 0.000 0.000
N -3.660 -1.429 4.016
N -0.240 -2.202 3.785
N -3.038 1.775 2.483
N -2.039 -1.166 0.838
Ce -1.639 -0.214 3.134
Ce -3.443 0.786 0.250
Sm -0.617 -3.167 1.469
```

# 10
A relaxed structure of CeSmHoN3. Source: Alexandria via LeMat-Bulk, functional PBE. Values from VASP.

Values from the calculation:
- energy relative to the elements, uncorrected (eV/atom) = -1.3432

Quantum ESPRESSO input file:
```
&SYSTEM
  ibrav = 0, nat = 12, ntyp = 4
/
ATOMIC_SPECIES
N 14.01 N.upf
Sm 150.36 Sm.upf
Ho 164.93 Ho.upf
Ce 140.12 Ce.upf
CELL_PARAMETERS angstrom
3.405 0.000 0.000
0.000 5.930 0.658
0.000 -1.723 9.297
ATOMIC_POSITIONS angstrom
N 2.554 0.537 4.316
N 0.851 4.379 8.569
N 0.851 3.670 5.639
N 2.554 2.791 1.844
N 2.554 -0.172 1.385
N 0.851 1.416 8.111
Sm 0.851 0.080 5.900
Sm 2.554 4.127 4.055
Ho 2.554 -0.200 8.944
Ho 0.851 4.407 1.011
Ce 2.554 3.022 7.341
Ce 0.851 1.185 2.614
```

# 11
A relaxed structure of Ce3Ho2TaN6. Source: Alexandria via LeMat-Bulk, functional PBE. Values from VASP.

Values from the calculation:
- energy relative to the elements, uncorrected (eV/atom) = -1.5327

Quantum ESPRESSO input file:
```
&SYSTEM
  ibrav = 0, nat = 12, ntyp = 4
/
ATOMIC_SPECIES
N 14.01 N.upf
Ce 140.12 Ce.upf
Ho 164.93 Ho.upf
Ta 180.95 Ta.upf
CELL_PARAMETERS angstrom
-0.251 -5.553 2.014
5.241 2.557 -0.970
-1.617 2.929 4.984
ATOMIC_POSITIONS angstrom
N 3.440 1.215 4.210
N 1.629 1.222 0.896
N -0.084 1.559 4.083
N 3.457 -1.626 1.944
N -0.067 -1.282 1.817
N 1.745 -1.289 5.131
Ce 3.510 2.658 2.023
Ce 1.687 -0.034 3.014
Ce -0.136 -2.726 4.004
Ho 3.409 -0.148 0.025
Ho 1.581 -2.848 1.018
Ta 0.000 0.000 0.000
```

# 12
A relaxed structure of Ce2Ho3TaN6. Source: Alexandria via LeMat-Bulk, functional PBE. Values from VASP.

Values from the calculation:
- energy relative to the elements, uncorrected (eV/atom) = -1.5297

Quantum ESPRESSO input file:
```
&SYSTEM
  ibrav = 0, nat = 12, ntyp = 4
/
ATOMIC_SPECIES
N 14.01 N.upf
Ho 164.93 Ho.upf
Ce 140.12 Ce.upf
Ta 180.95 Ta.upf
CELL_PARAMETERS angstrom
5.936 0.000 0.003
-2.966 5.142 0.003
-0.988 -1.711 5.563
ATOMIC_POSITIONS angstrom
N 0.139 3.431 4.248
N -0.921 1.596 1.322
N 2.902 1.835 4.248
N 2.047 3.544 1.363
N 1.843 0.000 1.322
N -0.065 -0.113 4.206
Ho 0.991 1.716 2.785
Ho -1.995 3.440 2.785
Ho 3.977 -0.009 2.785
Ce 0.004 3.426 0.003
Ce 2.966 1.716 0.003
Ta 0.000 0.000 0.000
```